LiRuSCl2 PBE-GGA relaxed; E_tot = -21.3 eV/cell; raw formation energy = -0.450 eV/atom; V = 22.5 A^3/atom; energy above the most stable polymorph in this dataset = 0 meV/atom; space-group type = P4/mmm
1.0
5.087 0.000 0.000
0.000 5.087 0.000
0.000 0.000 4.355
Cl Li S Ru
2 1 1 1
direct
0.000 0.500 0.000 Cl
0.500 0.000 0.000 Cl
0.500 0.500 0.500 Li
0.000 0.000 0.500 S
0.000 0.000 0.000 Ru

LiScRu2Cl PBE-GGA relaxed; E_tot = -25.0 eV/cell; raw formation energy = 0.732 eV/atom; V = 23.3 A^3/atom; space-group type = P4/mmm
1.0
4.769 0.000 0.000
0.000 5.118 0.000
0.000 0.000 4.769
Ru Cl Sc Li
2 1 1 1
direct
0.000 0.000 0.500 Ru
0.500 0.000 0.000 Ru
0.000 0.500 0.000 Cl
0.000 0.000 0.000 Sc
0.500 0.500 0.500 Li

LiTiRuCl2 PBE-GGA relaxed; E_tot = -23.4 eV/cell; raw formation energy = -0.122 eV/atom; V = 21.7 A^3/atom; space-group type = P4/mmm
1.0
-4.826 -0.463 0.599
-0.140 -2.983 -3.437
0.742 -3.662 3.148
Li Cl Ru Ti
1 2 1 1
direct
0.500 0.500 0.500 Li
0.500 0.000 0.000 Cl
0.000 0.000 0.500 Cl
0.000 0.500 0.000 Ru
0.000 0.000 0.000 Ti

LiTlRuCl6 PBE-GGA relaxed; E_tot = -32.8 eV/cell; raw formation energy = -0.906 eV/atom; V = 27.9 A^3/atom; space-group type = P312
1.0
-0.261 -6.337 -1.238
1.396 -4.262 4.653
-6.667 -0.098 1.910
Cl Li Tl Ru
6 1 1 1
direct
0.357 0.618 0.304 Cl
0.025 0.357 0.304 Cl
0.618 0.025 0.304 Cl
0.357 0.025 0.696 Cl
0.025 0.618 0.696 Cl
0.618 0.357 0.696 Cl
0.667 0.667 0.500 Li
0.000 0.000 0.000 Tl
0.333 0.333 0.500 Ru

Li12S3Cl5 PBE-GGA relaxed; E_tot = -288.0 eV/cell; raw formation energy = -1.371 eV/atom; V = 18.4 A^3/atom; space-group type = Ia-3d
1.0
12.403 0.000 0.000
-4.134 11.694 0.000
-4.134 -5.847 10.127
Cl Li S
20 48 12
direct
0.500 0.500 0.000 Cl
0.500 0.500 0.500 Cl
0.750 0.125 0.875 Cl
0.625 0.875 0.250 Cl
0.000 0.500 0.000 Cl
0.000 0.000 0.500 Cl
0.250 0.375 0.625 Cl
0.375 0.250 0.125 Cl
0.250 0.875 0.125 Cl
0.500 0.000 0.500 Cl
0.875 0.250 0.625 Cl
0.625 0.750 0.875 Cl
0.000 0.000 0.000 Cl
0.500 0.000 0.000 Cl
0.875 0.625 0.750 Cl
0.000 0.500 0.500 Cl
0.125 0.750 0.375 Cl
0.750 0.625 0.375 Cl
0.125 0.375 0.250 Cl
0.375 0.125 0.750 Cl
0.413 0.062 0.334 Li
0.587 0.938 0.666 Li
0.913 0.834 0.562 Li
0.834 0.921 0.273 Li
0.334 0.562 0.413 Li
0.649 0.587 0.921 Li
0.666 0.438 0.587 Li
0.649 0.062 0.227 Li
0.579 0.851 0.413 Li
0.834 0.913 0.062 Li
0.087 0.921 0.149 Li
0.227 0.666 0.079 Li
0.087 0.166 0.438 Li
0.413 0.351 0.579 Li
0.773 0.334 0.921 Li
0.921 0.834 0.773 Li
0.921 0.087 0.649 Li
0.351 0.938 0.773 Li
0.062 0.413 0.834 Li
0.421 0.149 0.587 Li
0.438 0.666 0.087 Li
0.562 0.334 0.913 Li
0.851 0.273 0.438 Li
0.727 0.149 0.062 Li
0.938 0.351 0.273 Li
0.562 0.227 0.149 Li
0.773 0.438 0.351 Li
0.079 0.166 0.227 Li
0.149 0.727 0.562 Li
0.438 0.773 0.851 Li
0.227 0.562 0.649 Li
0.062 0.649 0.727 Li
0.851 0.579 0.913 Li
0.666 0.227 0.579 Li
0.938 0.587 0.166 Li
0.727 0.579 0.166 Li
0.334 0.773 0.421 Li
0.079 0.913 0.351 Li
0.149 0.421 0.087 Li
0.273 0.421 0.834 Li
0.351 0.413 0.079 Li
0.913 0.079 0.851 Li
0.166 0.079 0.727 Li
0.579 0.727 0.666 Li
0.421 0.273 0.334 Li
0.587 0.649 0.421 Li
0.273 0.851 0.938 Li
0.166 0.087 0.938 Li
0.125 0.250 0.875 S
0.625 0.250 0.375 S
0.375 0.750 0.625 S
0.125 0.875 0.750 S
0.625 0.375 0.750 S
0.750 0.875 0.625 S
0.750 0.375 0.125 S
0.250 0.625 0.875 S
0.875 0.750 0.125 S
0.250 0.125 0.375 S
0.875 0.125 0.250 S
0.375 0.625 0.250 S

LiSCl3 PBE-GGA relaxed; E_tot = -11.4 eV/cell; raw formation energy = 0.043 eV/atom; V = 22.7 A^3/atom; energy above the most stable polymorph in this dataset = 433 meV/atom; space-group type = Pm-3m
1.0
4.845 0.000 0.000
0.000 4.845 0.000
0.000 0.000 4.845
Cl S Li
3 1 1
direct
0.000 0.000 0.500 Cl
0.000 0.500 0.000 Cl
0.500 0.000 0.000 Cl
0.500 0.500 0.500 S
0.000 0.000 0.000 Li

LiS3Cl3 PBE-GGA relaxed; E_tot = -46.8 eV/cell; raw formation energy = -0.511 eV/atom; V = 33.3 A^3/atom; space-group type = P-1
1.0
-7.354 3.362 0.320
-8.750 -4.989 1.632
-5.155 -2.723 7.976
Cl S Li
6 6 2
direct
0.434 0.924 0.421 Cl
0.235 0.554 0.087 Cl
0.566 0.076 0.579 Cl
0.023 0.708 0.425 Cl
0.977 0.292 0.575 Cl
0.765 0.446 0.913 Cl
0.205 0.817 0.395 S
0.775 0.987 0.899 S
0.934 0.688 0.008 S
0.795 0.183 0.605 S
0.066 0.312 0.992 S
0.225 0.013 0.101 S
0.299 0.195 0.423 Li
0.701 0.805 0.577 Li

LiSCl PBE-GGA relaxed; E_tot = -22.2 eV/cell; raw formation energy = -1.068 eV/atom; V = 21.6 A^3/atom; energy above the most stable polymorph in this dataset = 0 meV/atom; space-group type = P1
1.0
3.524 -0.041 0.122
-0.039 3.516 -0.079
0.274 -0.178 10.459
Cl S Li
2 2 2
direct
0.090 0.484 0.446 Cl
0.637 0.954 0.182 Cl
0.171 0.410 0.843 S
0.544 0.026 0.781 S
0.594 0.981 0.421 Li
0.132 0.458 0.207 Li

LiS2Cl PBE-GGA relaxed; E_tot = -10.0 eV/cell; raw formation energy = 0.513 eV/atom; V = 18.3 A^3/atom; energy above the most stable polymorph in this dataset = 1266 meV/atom; space-group type = Fm-3m
1.0
0.000 3.320 3.320
3.320 0.000 3.320
3.320 3.320 0.000
Cl Li S
1 1 2
direct
0.500 0.500 0.500 Cl
0.000 0.000 0.000 Li
0.750 0.750 0.750 S
0.250 0.250 0.250 S

Li3SCl PBE-GGA relaxed; E_tot = -18.5 eV/cell; raw formation energy = -1.358 eV/atom; V = 26.5 A^3/atom; energy above the most stable polymorph in this dataset = 5 meV/atom; space-group type = P1
1.0
-0.892 -0.840 -3.341
1.149 -6.595 -0.521
-4.536 -4.378 2.318
Li S Cl
3 1 1
direct
0.585 0.241 0.197 Li
0.584 0.240 0.786 Li
0.811 0.782 0.220 Li
0.151 0.106 0.059 S
0.470 0.460 0.382 Cl

LiSCl6 PBE-GGA relaxed; E_tot = -20.4 eV/cell; raw formation energy = -0.410 eV/atom; V = 26.7 A^3/atom; space-group type = C2/m
1.0
6.519 1.352 0.000
3.004 6.517 0.000
1.502 3.258 5.552
Cl S Li
6 1 1
direct
0.199 0.519 0.286 Cl
0.521 0.172 0.000 Cl
0.199 0.805 0.714 Cl
0.801 0.195 0.286 Cl
0.479 0.828 0.000 Cl
0.801 0.481 0.714 Cl
0.500 0.500 0.000 S
0.000 0.000 0.000 Li

LiS4Cl PBE-GGA relaxed; E_tot = -45.4 eV/cell; raw formation energy = -0.401 eV/atom; V = 30.2 A^3/atom; space-group type = P-1
1.0
9.422 2.482 -0.415
2.680 3.119 0.658
-1.103 -4.257 14.690
S Cl Li
8 2 2
direct
0.206 0.925 0.434 S
0.879 0.330 0.946 S
0.429 0.285 0.053 S
0.571 0.715 0.947 S
0.584 0.838 0.570 S
0.794 0.075 0.566 S
0.416 0.162 0.430 S
0.121 0.670 0.054 S
0.199 0.919 0.750 Cl
0.801 0.081 0.250 Cl
0.927 0.357 0.283 Li
0.073 0.643 0.717 Li

LiS2Cl PBE-GGA relaxed; E_tot = -30.1 eV/cell; raw formation energy = -0.753 eV/atom; V = 25.7 A^3/atom; energy above the most stable polymorph in this dataset = 0 meV/atom; space-group type = P-1
1.0
3.955 0.630 0.184
0.506 3.973 -0.727
1.000 1.009 13.218
Li S Cl
2 4 2
direct
0.723 0.640 0.419 Li
0.277 0.360 0.581 Li
0.699 0.777 0.086 S
0.301 0.223 0.914 S
0.134 0.500 0.113 S
0.866 0.500 0.887 S
0.639 0.744 0.603 Cl
0.361 0.256 0.397 Cl

LiS2Cl PBE-GGA relaxed; E_tot = -21.7 eV/cell; raw formation energy = 0.286 eV/atom; V = 23.0 A^3/atom; energy above the most stable polymorph in this dataset = 1040 meV/atom; space-group type = I-42d
1.0
-0.690 -3.380 -3.864
-3.704 -2.372 2.736
-6.912 1.272 -3.351
Li S Cl
2 4 2
direct
0.500 0.500 0.000 Li
0.250 0.750 0.500 Li
0.375 0.356 0.750 S
0.875 0.894 0.750 S
0.644 0.125 0.250 S
0.106 0.625 0.250 S
0.000 0.000 0.000 Cl
0.750 0.250 0.500 Cl

LiS2Cl PBE-GGA relaxed; E_tot = -10.7 eV/cell; raw formation energy = 0.318 eV/atom; V = 20.9 A^3/atom; energy above the most stable polymorph in this dataset = 1072 meV/atom; space-group type = R-3m
1.0
-7.548 -8.773 5.054
-5.642 -10.539 4.070
-5.305 -9.386 6.575
Li Cl S
1 1 2
direct
0.000 0.000 0.000 Li
0.500 0.500 0.500 Cl
0.940 0.940 0.940 S
0.060 0.060 0.060 S

LiSCl PBE-GGA relaxed; E_tot = -22.0 eV/cell; raw formation energy = -1.029 eV/atom; V = 27.1 A^3/atom; energy above the most stable polymorph in this dataset = 39 meV/atom; space-group type = C2/m
1.0
3.888 0.000 0.000
-1.944 3.349 0.215
0.000 -1.371 12.391
Li Cl S
2 2 2
direct
0.160 0.319 0.916 Li
0.840 0.681 0.084 Li
0.177 0.354 0.118 Cl
0.823 0.646 0.882 Cl
0.493 0.987 0.424 S
0.507 0.013 0.576 S

Li3SCl PBE-GGA relaxed; E_tot = -18.5 eV/cell; raw formation energy = -1.362 eV/atom; V = 19.3 A^3/atom; energy above the most stable polymorph in this dataset = 0 meV/atom; space-group type = Pm-3m
1.0
-0.597 -1.155 4.397
2.704 -3.655 -0.593
3.654 2.516 1.157
Li S Cl
3 1 1
direct
0.500 0.000 0.000 Li
0.000 0.000 0.500 Li
0.000 0.500 0.000 Li
0.000 0.000 0.000 S
0.500 0.500 0.500 Cl

LiSCl3 PBE-GGA relaxed; E_tot = -13.5 eV/cell; raw formation energy = -0.390 eV/atom; V = 24.3 A^3/atom; energy above the most stable polymorph in this dataset = 0 meV/atom; space-group type = Pm-3m
1.0
-3.264 -1.833 3.245
3.697 -2.137 2.511
0.471 4.076 2.775
S Li Cl
1 1 3
direct
0.000 0.000 0.000 S
0.500 0.500 0.500 Li
0.000 0.000 0.500 Cl
0.000 0.500 0.000 Cl
0.500 0.000 0.000 Cl

LiS2Cl PBE-GGA relaxed; E_tot = -11.9 eV/cell; raw formation energy = 0.033 eV/atom; V = 19.0 A^3/atom; energy above the most stable polymorph in this dataset = 786 meV/atom; space-group type = R-3m
1.0
1.479 7.809 0.254
3.866 6.562 2.288
4.337 6.582 -1.053
Li S Cl
1 2 1
direct
0.500 0.500 0.500 Li
0.098 0.098 0.098 S
0.902 0.902 0.902 S
0.000 0.000 0.000 Cl

LiS2Cl8 PBE-GGA relaxed; E_tot = -28.2 eV/cell; raw formation energy = -0.297 eV/atom; V = 33.6 A^3/atom; space-group type = C2/m
1.0
-2.251 2.758 5.785
-7.581 -2.494 -0.308
-2.138 -6.686 3.810
S Cl Li
2 8 1
direct
0.357 0.151 0.151 S
0.643 0.849 0.849 S
0.820 0.146 0.717 Cl
0.180 0.283 0.854 Cl
0.371 0.790 0.790 Cl
0.165 0.278 0.278 Cl
0.835 0.722 0.722 Cl
0.820 0.717 0.146 Cl
0.629 0.210 0.210 Cl
0.180 0.854 0.283 Cl
0.000 0.000 0.000 Li

LiSbS2Cl PBE-GGA relaxed; E_tot = -17.7 eV/cell; raw formation energy = -0.305 eV/atom; V = 27.5 A^3/atom; energy above the most stable polymorph in this dataset = 0 meV/atom; space-group type = P4/mmm
1.0
-0.132 2.992 -4.087
3.677 -2.756 -2.136
-3.684 -3.194 -2.219
Cl Sb S Li
1 1 2 1
direct
0.000 0.000 0.500 Cl
0.000 0.000 0.000 Sb
0.000 0.500 0.000 S
0.500 0.000 0.000 S
0.500 0.500 0.500 Li

LiSeS2Cl PBE-GGA relaxed; E_tot = -15.5 eV/cell; raw formation energy = -0.003 eV/atom; V = 24.2 A^3/atom; energy above the most stable polymorph in this dataset = 0 meV/atom; space-group type = P4/mmm
1.0
-3.919 2.764 -0.660
-2.746 -3.395 2.091
0.779 2.202 4.598
Li Se Cl S
1 1 1 2
direct
0.500 0.500 0.500 Li
0.000 0.000 0.000 Se
0.000 0.000 0.500 Cl
0.000 0.500 0.000 S
0.500 0.000 0.000 S

LiSiSCl2 PBE-GGA relaxed; E_tot = -18.2 eV/cell; raw formation energy = -0.607 eV/atom; V = 21.9 A^3/atom; energy above the most stable polymorph in this dataset = 0 meV/atom; space-group type = P4/mmm
1.0
-1.911 4.522 -0.374
-2.446 -0.685 4.218
3.509 1.674 2.306
Li Cl S Si
1 2 1 1
direct
0.500 0.500 0.500 Li
0.000 0.500 0.000 Cl
0.500 0.000 0.000 Cl
0.000 0.000 0.500 S
0.000 0.000 0.000 Si